Below is a geometry-optimized CoHI2 structure, with properties calculated at the GGA-PBE level.

Cell lengths 7.0400, 7.0400, 7.0400 Å; angles 90.00, 90.00, 90.00 degrees
Space group Fm-3m (No. 225)
Asymmetric unit:
Co1 0.0000 0.0000 0.0000 [4 per cell]
H1 0.0000 0.0000 0.5000 [4 per cell]
I1 0.2500 0.2500 0.2500 [8 per cell]

Below is a geometry-optimized Ho4TlAu structure, with properties calculated at the GGA-PBE level.

Cell lengths 7.4734, 7.1328, 7.0614 Å; angles 90.00, 90.86, 90.00 degrees
Space group P2_1/c (No. 14)
Asymmetric unit:
Ho1 0.1471 0.1586 0.1652 [4 per cell]
Ho2 0.3275 0.6452 0.1368 [4 per cell]
Tl1 0.5000 0.0000 0.0000 [2 per cell]
Au1 0.0000 0.0000 0.5000 [2 per cell]

Below is a geometry-optimized Sc5Cu4Pd structure, with properties calculated at the GGA-PBE level.

Cell lengths 3.2559, 3.2559, 16.5046 Å; angles 90.00, 90.00, 90.00 degrees
Space group P4/mmm (No. 123)
Asymmetric unit:
Sc1 0.0000 0.0000 0.0000 [1 per cell]
Sc2 0.0000 0.0000 0.1989 [2 per cell]
Sc3 0.0000 0.0000 0.3973 [2 per cell]
Cu1 0.5000 0.5000 0.0989 [2 per cell]
Cu2 0.5000 0.5000 0.2981 [2 per cell]
Pd1 0.5000 0.5000 0.5000 [1 per cell]

Below is a geometry-optimized Na4La3HfS8 structure, with properties calculated at the GGA-PBE level.

Cell lengths 8.1635, 8.1635, 20.1098 Å; angles 90.00, 90.00, 120.00 degrees
Space group R-3m (No. 166, hexagonal axes)
Asymmetric unit:
Na1 0.0000 0.0000 0.0000 [3 per cell]
Na2 0.0000 0.5000 0.0000 [9 per cell]
La1 0.0000 0.5000 0.5000 [9 per cell]
Hf1 0.0000 0.0000 0.5000 [3 per cell]
S1 0.0000 0.0000 0.2484 [6 per cell]
S2 0.0298 0.5149 0.2419 [18 per cell]

Output
E_form (uncorrected)   -1716 meV per atom

Below is a geometry-optimized Ac4GeN2 structure, with properties calculated at the GGA-PBE level.

Cell lengths 4.2034, 13.1345, 13.4452 Å; angles 90.00, 90.00, 90.00 degrees
Space group Cmcm (No. 63)
Asymmetric unit:
Ac1 0.0000 0.0000 0.0000 [4 per cell]
Ac2 0.0000 0.2708 0.1091 [8 per cell]
Ac3 0.0000 0.4251 0.7500 [4 per cell]
Ge1 0.0000 0.1003 0.7500 [4 per cell]
N1 0.0000 0.3591 0.5558 [8 per cell]

Output
E_form (uncorrected)   -793 meV per atom

Below is a geometry-optimized B2IrAuI structure, with properties calculated at the GGA-PBE level.

Cell lengths 4.0427, 4.0427, 5.6551 Å; angles 90.00, 90.00, 90.00 degrees
Space group P4/mmm (No. 123)
Asymmetric unit:
B1 0.0000 0.5000 0.0000 [2 per cell]
Ir1 0.0000 0.0000 0.5000 [1 per cell]
Au1 0.0000 0.0000 0.0000 [1 per cell]
I1 0.5000 0.5000 0.5000 [1 per cell]

Output
E_form (uncorrected)   1365 meV per atom

Below is a geometry-optimized AgBiO2 structure, with properties calculated at the GGA-PBE level.

Cell lengths 6.2320, 3.5543, 6.8751 Å; angles 90.00, 98.80, 90.00 degrees
Space group P2_1/m (No. 11)
Asymmetric unit:
Ag1 0.1863 0.2500 0.0898 [2 per cell]
Bi1 0.2470 0.7500 0.6120 [2 per cell]
O1 0.0974 0.2500 0.3759 [2 per cell]
O2 0.2882 0.2500 0.8129 [2 per cell]

Output
E_form (uncorrected)   -762 meV per atom

Below is a geometry-optimized SnPOsO2 structure, with properties calculated at the GGA-PBE level.

Cell lengths 3.8686, 3.8686, 5.1657 Å; angles 90.00, 90.00, 90.00 degrees
Space group P4/mmm (No. 123)
Asymmetric unit:
Sn1 0.0000 0.0000 0.0000 [1 per cell]
P1 0.5000 0.5000 0.0000 [1 per cell]
Os1 0.5000 0.5000 0.5000 [1 per cell]
O1 0.0000 0.5000 0.5000 [2 per cell]

Output
E_form (uncorrected)   -358 meV per atom

Below is a geometry-optimized CaY2Te structure, with properties calculated at the GGA-PBE level.

Cell lengths 3.9776, 3.9776, 7.7148 Å; angles 90.00, 90.00, 90.00 degrees
Space group P4/mmm (No. 123)
Asymmetric unit:
Ca1 0.0000 0.0000 0.0000 [1 per cell]
Y1 0.5000 0.5000 0.2761 [2 per cell]
Te1 0.0000 0.0000 0.5000 [1 per cell]

Output
E_form (uncorrected)   -481 meV per atom

Below is a geometry-optimized TaCrBr3 structure, with properties calculated at the GGA-PBE level.

Cell lengths 5.1865, 5.1865, 5.1865 Å; angles 90.00, 90.00, 90.00 degrees
Space group Pm-3m (No. 221)
Asymmetric unit:
Ta1 0.0000 0.0000 0.0000 [1 per cell]
Cr1 0.5000 0.5000 0.5000 [1 per cell]
Br1 0.0000 0.0000 0.5000 [3 per cell]

Output
E_form (uncorrected)   398 meV per atom

Below is a geometry-optimized Li3B8C8 structure, with properties calculated at the GGA-PBE level.

Cell lengths 4.7523, 2.7379, 12.4913 Å; angles 90.00, 94.29, 90.00 degrees
Space group Pm (No. 6)
Asymmetric unit:
Li1 0.0000 0.0000 0.0000 [1 per cell]
Li2 0.0545 0.0000 0.2745 [1 per cell]
Li3 0.4491 0.5000 0.7291 [1 per cell]
B1 0.1109 0.5000 0.8490 [1 per cell]
B2 0.2405 0.5000 0.4353 [1 per cell]
B3 0.2717 0.0000 0.5689 [1 per cell]
B4 0.3719 0.0000 0.1463 [1 per cell]
B5 0.6149 0.0000 0.8635 [1 per cell]
B6 0.7363 0.0000 0.4312 [1 per cell]
B7 0.7762 0.5000 0.5713 [1 per cell]
B8 0.8621 0.5000 0.1459 [1 per cell]
C1 0.1041 0.5000 0.5672 [1 per cell]
C2 0.1965 0.5000 0.1472 [1 per cell]
C3 0.2838 0.0000 0.8490 [1 per cell]
C4 0.4087 0.0000 0.4367 [1 per cell]
C5 0.6065 0.0000 0.5704 [1 per cell]
C6 0.6985 0.0000 0.1478 [1 per cell]
C7 0.7865 0.5000 0.8611 [1 per cell]
C8 0.9058 0.5000 0.4318 [1 per cell]

Below is a geometry-optimized K3Pr2NpSe6 structure, with properties calculated at the GGA-PBE level.

Cell lengths 7.5448, 13.0578, 8.0960 Å; angles 90.00, 108.07, 90.00 degrees
Space group C2/m (No. 12)
Asymmetric unit:
K1 0.0000 0.0000 0.0000 [2 per cell]
K2 0.0000 0.3316 0.0000 [4 per cell]
Pr1 0.0000 0.1658 0.5000 [4 per cell]
Np1 0.0000 0.5000 0.5000 [2 per cell]
Se1 0.2339 0.3364 0.7104 [8 per cell]
Se2 0.2431 0.0000 0.7112 [4 per cell]

Output
E_form (uncorrected)   -1576 meV per atom

Below is a geometry-optimized Ca2GeSe structure, with properties calculated at the GGA-PBE level.

Cell lengths 3.9713, 3.9713, 23.9622 Å; angles 90.00, 90.00, 120.00 degrees
Space group R-3m (No. 166, hexagonal axes)
Asymmetric unit:
Ca1 0.0000 0.0000 0.2415 [6 per cell]
Ge1 0.0000 0.0000 0.0000 [3 per cell]
Se1 0.0000 0.0000 0.5000 [3 per cell]

Output
E_form (uncorrected)   -1117 meV per atom

Below is a geometry-optimized ScMoC structure, with properties calculated at the GGA-PBE level.

Cell lengths 4.1522, 4.6655, 9.2759 Å; angles 90.00, 90.00, 90.00 degrees
Space group Imma (No. 74)
Asymmetric unit:
Sc1 0.0000 0.2500 0.1113 [4 per cell]
Mo1 0.0000 0.2500 0.6463 [4 per cell]
C1 0.0000 0.2500 0.8694 [4 per cell]

Below is a geometry-optimized NpZnSeO6 structure, with properties calculated at the GGA-PBE level.

Cell lengths 5.4043, 5.4043, 9.0279 Å; angles 90.00, 90.00, 120.00 degrees
Space group P-31c (No. 163)
Asymmetric unit:
Np1 0.3333 0.6667 0.2500 [2 per cell]
Zn1 0.0000 0.0000 0.0000 [2 per cell]
Se1 0.3333 0.6667 0.7500 [2 per cell]
O1 0.0032 0.3450 0.6317 [12 per cell]

Output
E_form (uncorrected)   -1569 meV per atom

Below is a geometry-optimized Cd8HgAu5 structure, with properties calculated at the GGA-PBE level.

Cell lengths 8.3928, 8.3928, 8.6661 Å; angles 90.00, 90.00, 90.00 degrees
Space group I-4 (No. 82)
Asymmetric unit:
Cd1 0.0805 0.1725 0.3205 [8 per cell]
Cd2 0.0844 0.3388 0.9663 [8 per cell]
Hg1 0.0000 0.0000 0.0000 [2 per cell]
Au1 0.0000 0.5000 0.2500 [2 per cell]
Au2 0.1310 0.2572 0.6452 [8 per cell]

Below is a geometry-optimized LiTl2 structure, with properties calculated at the GGA-PBE level.

Cell lengths 3.4237, 3.4237, 12.5017 Å; angles 90.00, 90.00, 90.00 degrees
Space group P4/mmm (No. 123)
Asymmetric unit:
Li1 0.0000 0.0000 0.1416 [2 per cell]
Tl1 0.0000 0.0000 0.5000 [1 per cell]
Tl2 0.5000 0.5000 0.0000 [1 per cell]
Tl3 0.5000 0.5000 0.2922 [2 per cell]

Below is a geometry-optimized TcHgW2 structure, with properties calculated at the GGA-PBE level.

Cell lengths 9.4385, 2.9993, 4.8896 Å; angles 90.00, 103.65, 90.00 degrees
Space group Cm (No. 8)
Asymmetric unit:
Tc1 0.0000 0.0000 0.0000 [2 per cell]
Hg1 0.2382 0.0000 0.7285 [2 per cell]
W1 0.2331 0.5000 0.2225 [2 per cell]
W2 0.4746 0.0000 0.4523 [2 per cell]

Below is a geometry-optimized K12In3F5 structure, with properties calculated at the GGA-PBE level.

Cell lengths 18.0845, 18.0845, 18.0845 Å; angles 90.00, 90.00, 90.00 degrees
Space group Ia-3d (No. 230)
Asymmetric unit:
K1 0.0383 0.0440 0.6464 [96 per cell]
In1 0.0000 0.2500 0.1250 [24 per cell]
F1 0.0000 0.0000 0.0000 [16 per cell]
F2 0.0000 0.2500 0.3750 [24 per cell]

Output
E_form (uncorrected)   -1231 meV per atom

Below is a geometry-optimized Tb3NdDy3 structure, with properties calculated at the GGA-PBE level.

Cell lengths 8.6523, 8.6523, 21.8129 Å; angles 90.00, 90.00, 120.00 degrees
Space group R-3 (No. 148, hexagonal axes)
Asymmetric unit:
Tb1 0.0554 0.6060 0.3800 [18 per cell]
Nd1 0.0000 0.0000 0.1510 [6 per cell]
Dy1 0.0046 0.7722 0.5592 [18 per cell]

Here are the calculated final energy numbers, same order: -2.46 -4.20 -5.73 -5.66 -6.18 -4.04 -4.92 -6.47 -5.00 -4.90 -6.95 -5.47 -4.14 -9.10 -6.84 -1.81 -2.35 -8.58 -2.77 -4.42 (eV per atom).
Here are the calculated ρ numbers, same order: 6.0 9.4 5.6 4.1 9.0 9.7 7.7 8.0 4.7 5.6 2.1 4.9 3.5 5.7 6.9 11.3 9.4 16.4 2.0 7.8 (g/cm³).